The following is a PBE calculation of a relaxed BaNb2As4 crystal, from the Alexandria database.

Lattice parameters (Å, degrees): 5.642 5.642 8.012 69.38 69.38 90.00
Fractional coordinates of all 7 atoms:
As: 0.755 0.755 0.489
As: 0.245 0.245 0.511
As: 0.000 0.500 0.000
As: 0.500 0.000 0.000
Nb: 0.588 0.588 0.824
Nb: 0.412 0.412 0.176
Ba: 0.000 0.000 0.000

Properties
calculated volume: 221.2 Å³ per cell
space group: I4/mmm, No. 139
E_form: 0.601 eV/atom

---

The following is a PBE calculation of a relaxed Ac3La3Tb4 crystal, from the Alexandria database.

Lattice parameters (Å, degrees): 3.781 10.073 10.073 89.25 90.00 90.00
Last column: magnetic moment on the atom in μB.
Fractional coordinates of all 10 atoms:
Ac: 0.500 0.825 0.175  0.00
Ac: 0.500 0.318 0.325  0.00
Ac: 0.500 0.675 0.682  0.00
La: 0.000 0.499 0.003  0.10
La: 0.000 0.997 0.501  0.10
La: 0.500 0.179 0.821  0.00
Tb: 0.000 0.616 0.384  0.01
Tb: 0.000 0.376 0.624  0.00
Tb: 0.000 0.890 0.875  0.01
Tb: 0.000 0.125 0.110  0.01

Properties
calculated volume: 383.6 Å³ per cell
space group: Amm2, No. 38
E_form: 0.124 eV/atom

---

The following is a PBE calculation of a relaxed CaCu2Se crystal, from the Alexandria database.

Lattice parameters (Å, degrees): 3.623 3.623 6.168 90.00 90.00 90.00
Fractional coordinates of all 4 atoms:
Ca: 0.500 0.500 0.711
Cu: 0.000 0.000 0.109
Cu: 0.500 0.500 0.174
Se: 0.000 0.000 0.507

Properties
calculated volume: 81.0 Å³ per cell
space group: P4mm, No. 99
ΔE_f (raw): -0.34 eV/atom

---

The following is a PBE calculation of a relaxed HfCuN2F crystal, from the Alexandria database.

Lattice parameters (Å, degrees): 3.822 3.822 3.617 90.00 90.00 90.00
Fractional coordinates of all 5 atoms:
N: 0.000 0.500 0.000
N: 0.500 0.000 0.000
Hf: 0.500 0.500 0.500
Cu: 0.000 0.000 0.000
F: 0.000 0.000 0.500

Properties
calculated volume: 52.8 Å³ per cell
excess energy over the best structure of this formula in the dataset: 236 meV/atom
space group: P4/mmm, No. 123
ΔE_f (raw): -0.11 eV/atom

---

The following is a PBE calculation of a relaxed PuPaB2O8 crystal, from the Alexandria database.

Lattice parameters (Å, degrees): 4.575 4.575 7.310 71.77 71.77 60.00
Last column: magnetic moment on the atom in μB.
Fractional coordinates of all 12 atoms:
Pu: 0.000 0.000 0.000  4.12
Pa: 0.500 0.500 0.500  0.01
B: 0.742 0.742 0.773  0.01
B: 0.258 0.258 0.227  0.01
O: 0.672 0.672 0.985  -0.23
O: 0.328 0.328 0.015  -0.23
O: 0.555 0.200 0.295  -0.10
O: 0.800 0.445 0.705  -0.10
O: 0.050 0.800 0.705  -0.10
O: 0.200 0.950 0.295  -0.10
O: 0.950 0.555 0.295  -0.10
O: 0.445 0.050 0.705  -0.10

Properties
calculated volume: 123.5 Å³ per cell
space group: R32, No. 155
ΔE_f (raw): -2.56 eV/atom

---

The following is a PBE calculation of a relaxed YMgRe3 crystal, from the Alexandria database.

Lattice parameters (Å, degrees): 4.620 4.620 4.620 90.00 90.00 90.00
Fractional coordinates of all 5 atoms:
Y: 0.500 0.500 0.500
Re: 0.000 0.500 0.000
Re: 0.000 0.000 0.500
Re: 0.500 0.000 0.000
Mg: 0.000 0.000 0.000

Properties
calculated volume: 98.6 Å³ per cell
excess energy over the best structure of this formula in the dataset: 0 meV/atom
space group: Pm-3m, No. 221
E_form: 1.875 eV/atom

---

The following is a PBE calculation of a relaxed Dy6RhAu5 crystal, from the Alexandria database.

Lattice parameters (Å, degrees): 5.046 7.157 7.989 90.00 71.49 90.00
Fractional coordinates of all 12 atoms:
Rh: 0.000 0.000 0.000
Au: 0.668 0.500 0.665
Au: 0.332 0.000 0.335
Au: 0.000 0.500 0.000
Au: 0.668 0.000 0.665
Au: 0.332 0.500 0.335
Dy: 0.837 0.754 0.325
Dy: 0.837 0.246 0.325
Dy: 0.500 0.242 0.000
Dy: 0.500 0.758 0.000
Dy: 0.163 0.754 0.675
Dy: 0.163 0.246 0.675

Properties
calculated volume: 273.6 Å³ per cell
space group: P2/m, No. 10
E_form: -0.854 eV/atom

---

The following is a PBE calculation of a relaxed NaSn2Mo4 crystal, from the Alexandria database.

Lattice parameters (Å, degrees): 4.523 4.523 7.776 73.09 73.09 90.00
Last column: magnetic moment on the atom in μB.
Fractional coordinates of all 7 atoms:
Na: 0.000 0.000 0.000  -0.06
Mo: 0.826 0.826 0.347  1.87
Mo: 0.174 0.174 0.653  1.87
Mo: 0.000 0.500 0.000  -1.01
Mo: 0.500 0.000 0.000  -1.01
Sn: 0.633 0.633 0.734  -0.06
Sn: 0.367 0.367 0.266  -0.06

Properties
calculated volume: 145.0 Å³ per cell
space group: I4/mmm, No. 139
E_form: 1.787 eV/atom

---

What did the first record say?
The following is a PBE calculation of a relaxed BaNb2As4 crystal, from the Alexandria database.

Lattice parameters (Å, degrees): 5.642 5.642 8.012 69.38 69.38 90.00
Fractional coordinates of all 7 atoms:
As: 0.755 0.755 0.489
As: 0.245 0.245 0.511
As: 0.000 0.500 0.000
As: 0.500 0.000 0.000
Nb: 0.588 0.588 0.824
Nb: 0.412 0.412 0.176
Ba: 0.000 0.000 0.000

Properties
calculated volume: 221.2 Å³ per cell
space group: I4/mmm, No. 139
E_form: 0.601 eV/atom